Er6Tl5, relaxed, DFT PBE; calculated volume = 317.05 Å³/cell; space group = C2/m (12); DFT formation energy = -0.16 eV per atom
1.0
-2.748 -6.032 5.365
4.062 -3.889 4.485
-1.330 3.279 5.598
Er Tl
6 5
direct
0.347 0.702 0.808
0.049 0.298 0.808
0.181 0.000 0.302
0.653 0.298 0.192
0.951 0.702 0.192
0.819 0.000 0.698
0.631 0.738 0.000
0.500 0.000 0.500
0.369 0.262 0.000
0.228 0.543 0.500
0.772 0.457 0.500